# 1
A plane-wave DFT calculation with GGA-PBE was carried out for MnGaAu3 after structural relaxation.

Geometry as POSCAR:
```
MnGaAu3
1.0
-4.313 1.834 1.091
-0.838 -3.657 2.999
0.921 4.736 6.052
Au Ga Mn
6 2 2
direct
0.652 0.845 0.416
0.149 0.344 0.421
0.957 0.344 0.809
0.262 0.844 0.194
0.454 0.845 0.806
0.759 0.344 0.198
0.055 0.844 0.607
0.356 0.345 0.008
0.559 0.345 0.602
0.852 0.844 0.012
```

Computed properties:
Distance to the lowest polymorph of the same formula   0 meV per atom
Total magnetic moment   4.1 μB per formula unit
Energy   -45.11 eV per cell
Space group   No. 2
E_form   -0.53 eV/f.u.



# 2
A plane-wave DFT calculation with GGA-PBE was carried out for Zn2ReSe after structural relaxation.

Geometry as POSCAR:
```
Zn2ReSe
1.0
-7.749 -4.690 3.792
-0.173 -5.998 -7.773
-2.535 -6.811 -0.890
Zn Se Re
4 2 2
direct
0.875 0.125 0.250
0.875 0.625 0.250
0.375 0.125 0.750
0.875 0.125 0.750
0.250 0.750 0.500
0.500 0.500 0.000
0.750 0.250 0.500
0.000 0.000 0.000
```

Computed properties:
Distance to the lowest polymorph of the same formula   325 meV per atom
Total magnetic moment   0.0 μB per formula unit
Energy   -32.82 eV per cell
Space group   No. 141



# 3
A plane-wave DFT calculation with GGA-PBE was carried out for Ac2YIn after structural relaxation.

Geometry as POSCAR:
```
Ac2YIn
1.0
-5.805 0.598 0.699
-3.470 -4.744 -0.051
-2.565 -1.819 4.966
Ac In Y
2 1 1
direct
0.750 0.750 0.750
0.250 0.250 0.250
0.000 0.000 0.000
0.500 0.500 0.500
```

Computed properties:
Distance to the lowest polymorph of the same formula   106 meV per atom
Total magnetic moment   0.0 μB per formula unit
Energy   -17.75 eV per cell
Space group   No. 225
E_form   -0.33 eV/f.u.